1.
## CaAg2Au (PBE)

Data for an optimized crystal structure of CaAg2Au.

Geometry as POSCAR:
```
CaAg2Au
1.0
4.895 0.000 0.000
0.000 3.433 -0.104
0.000 0.206 5.437
Ag Au Ca
2 1 1
Direct
0.000 0.245 0.998
0.000 0.255 0.502
0.500 0.250 0.250
0.500 0.750 0.750
```

formation enthalpy at 0 K = -1.02 eV per formula unit
E = -3.00 eV per atom
DOS at the Fermi energy = 1.6 states/eV per cell
density = 8.220 g cm⁻³

2.
## TbPm2Hg7 (PBE)

Data for an optimized crystal structure of TbPm2Hg7.

Geometry as POSCAR:
```
TbPm2Hg7
1.0
-4.286 2.567 -0.458
-0.113 -4.899 1.078
0.295 2.636 12.007
Pm Tb Hg
2 1 7
Direct
0.333 0.667 0.651
0.667 0.333 0.327
0.000 0.000 0.968
0.000 0.000 0.233
0.333 0.667 0.895
0.333 0.667 0.407
0.667 0.333 0.782
0.667 0.333 0.055
0.000 0.000 0.516
0.333 0.667 0.149
```

formation enthalpy at 0 K = -3.13 eV per formula unit
E = -1.94 eV per atom
DOS at the Fermi energy = 4.1 states/eV per cell
density = 11.479 g cm⁻³